[1]
The following is a PBE calculation of crystalline RbCaTlGa2 at its relaxed geometry, from Alexandria.

abc: 5.8416 5.8416 6.3428
angles: 90.00 90.00 90.00
Closest atoms and distances in Å follow each position.
Fractional positions:
Rb 0.0000 0.0000 0.0000  4 Ga 2.92, 2 Ca 3.17
Ca 0.0000 0.0000 0.5000  2 Rb 3.17
Tl 0.5000 0.5000 0.5000  4 Ca 4.13, 8 Ga 4.31
Ga 0.0000 0.5000 0.0000  2 Rb 2.92
Ga 0.5000 0.0000 0.0000  2 Rb 2.92

The value obtained for the raw total energy is -0.0497 hartree per atom.

=====

[2]
The following is a PBE calculation of crystalline Ca2Ga2Re at its relaxed geometry, from Alexandria.

abc: 6.8160 6.8160 4.7803
angles: 90.00 90.00 90.00
Closest atoms and distances in Å follow each position.
Fractional positions:
Ca 0.1783 0.3217 0.0000  6 Ga 2.92-3.27
Ca 0.3217 0.8217 0.0000  6 Ga 2.92-3.27
Ca 0.6783 0.1783 0.0000  6 Ga 2.92-3.27
Ca 0.8217 0.6783 0.0000  6 Ga 2.92-3.27
Ga 0.1470 0.6470 0.5000  2 Re 2.61, 1 Ga 2.83
Ga 0.3530 0.1470 0.5000  2 Re 2.61, 1 Ga 2.83
Ga 0.6470 0.8530 0.5000  2 Re 2.61, 1 Ga 2.83
Ga 0.8530 0.3530 0.5000  2 Re 2.61, 1 Ga 2.83
Re 0.0000 0.0000 0.5000  4 Ga 2.61
Re 0.5000 0.5000 0.5000  4 Ga 2.61

Its offset from the most stable computed form is 0.000 eV/atom.

=====

[3]
The following is a PBE calculation of crystalline Ca2Ga2Re at its relaxed geometry, from Alexandria.

abc: 9.8366 9.8366 9.8366
angles: 159.12 159.12 29.70
Closest atoms and distances in Å follow each position.
Fractional positions:
Ca 0.0966 0.0966 0.0000  4 Re 3.12, 4 Ga 3.42
Ca 0.9034 0.9034 0.0000  4 Re 3.12, 4 Ga 3.42
Ga 0.2500 0.7500 0.5000  4 Ga 2.52
Ga 0.7500 0.2500 0.5000  4 Ga 2.52
Re 0.5000 0.5000 0.0000  8 Ca 3.12

Its offset from the most stable computed form is 0.417 eV/atom.

=====

[4]
The following is a PBE calculation of crystalline Ca2Ga2Re at its relaxed geometry, from Alexandria.

abc: 8.4567 8.4567 2.9784
angles: 90.00 90.00 90.00
Closest atoms and distances in Å follow each position.
Fractional positions:
Ca 0.1346 0.3654 0.0000  6 Ga 2.83-2.95, 2 Ca 2.98
Ca 0.3654 0.8654 0.0000  6 Ga 2.83-2.95, 2 Ca 2.98
Ca 0.6346 0.1346 0.0000  6 Ga 2.83-2.95, 2 Ca 2.98
Ca 0.8654 0.6346 0.0000  6 Ga 2.83-2.95, 2 Ca 2.98
Ga 0.1646 0.6646 0.5000  6 Ca 2.83-2.95, 2 Ga 2.98
Ga 0.3354 0.1646 0.5000  6 Ca 2.83-2.95, 2 Ga 2.98
Ga 0.6646 0.8354 0.5000  6 Ca 2.83-2.95, 2 Ga 2.98
Ga 0.8354 0.3354 0.5000  6 Ca 2.83-2.95, 2 Ga 2.98
Re 0.0000 0.0000 0.0000  2 Re 2.98, 4 Ca 3.29
Re 0.5000 0.5000 0.0000  2 Re 2.98, 4 Ca 3.29

Its offset from the most stable computed form is 0.604 eV/atom.

=====

[5]
The following is a PBE calculation of crystalline CaGaRe2 at its relaxed geometry, from Alexandria.

abc: 9.7369 9.7369 9.7369
angles: 153.25 153.25 38.19
Closest atoms and distances in Å follow each position.
Fractional positions:
Ca 0.0000 0.0000 0.0000  4 Re 3.18, 4 Ga 3.19
Ca 0.7500 0.2500 0.5000  4 Re 3.18, 4 Ga 3.19
Ga 0.2500 0.7500 0.5000  4 Re 2.59
Ga 0.5000 0.5000 0.0000  4 Re 2.59
Re 0.2927 0.6250 0.1677  2 Re 2.37, 2 Ga 2.59
Re 0.3750 0.5427 0.6677  2 Re 2.37, 2 Ga 2.59
Re 0.4573 0.1250 0.8323  2 Re 2.37, 2 Ga 2.59
Re 0.8750 0.7073 0.3323  2 Re 2.37, 2 Ga 2.59

The value obtained for the raw total energy is -0.2466 hartree per atom.

=====

[6]
The following is a PBE calculation of crystalline Ca3GaRe at its relaxed geometry, from Alexandria.

abc: 5.4737 5.4737 5.4737
angles: 90.00 90.00 90.00
Closest atoms and distances in Å follow each position.
Fractional positions:
Ca 0.0000 0.0000 0.5000  2 Re 2.74
Ca 0.0000 0.5000 0.0000  2 Re 2.74
Ca 0.5000 0.0000 0.0000  2 Re 2.74
Ga 0.5000 0.5000 0.5000  12 Ca 3.87
Re 0.0000 0.0000 0.0000  6 Ca 2.74

The value obtained for the raw total energy is -0.1313 hartree per atom.

=====

[7]
The following is a PBE calculation of crystalline CaGaReRh2 at its relaxed geometry, from Alexandria.

abc: 4.6325 4.6325 4.8800
angles: 90.00 90.00 90.00
Closest atoms and distances in Å follow each position.
Fractional positions:
Ca 0.0000 0.0000 0.0000  4 Rh 2.32, 2 Re 2.44
Ga 0.5000 0.5000 0.5000  4 Re 3.28, 8 Rh 3.36
Re 0.0000 0.0000 0.5000  2 Ca 2.44
Rh 0.0000 0.5000 0.0000  2 Ca 2.32
Rh 0.5000 0.0000 0.0000  2 Ca 2.32

The value obtained for the raw total energy is -0.1610 hartree per atom.

=====

[8]
The following is a PBE calculation of crystalline Ca2GaReS at its relaxed geometry, from Alexandria.

abc: 5.3054 5.3054 4.3464
angles: 90.00 90.00 90.00
Closest atoms and distances in Å follow each position.
Fractional positions:
Ca 0.0000 0.5000 0.0000  2 S 2.65
Ca 0.5000 0.0000 0.0000  2 S 2.65
Ga 0.0000 0.0000 0.5000  8 Ca 3.43, 4 Re 3.75
Re 0.5000 0.5000 0.5000  2 S 2.17
S 0.5000 0.5000 0.0000  2 Re 2.17

As for the uncorrected formation energy: -0.160 eV/atom.

=====

[9]
The following is a PBE calculation of crystalline CaYGaRe2 at its relaxed geometry, from Alexandria.

abc: 4.7402 4.7402 5.1539
angles: 90.00 90.00 90.00
Closest atoms and distances in Å follow each position.
Fractional positions:
Ca 0.0000 0.0000 0.0000  4 Y 3.35, 8 Re 3.50
Y 0.5000 0.5000 0.0000  2 Ga 2.58
Ga 0.5000 0.5000 0.5000  4 Re 2.37, 2 Y 2.58
Re 0.0000 0.5000 0.5000  2 Ga 2.37
Re 0.5000 0.0000 0.5000  2 Ga 2.37

The value obtained for the raw total energy is -0.2304 hartree per atom.

=====

[10]
The following is a PBE calculation of crystalline CaZnGaRe2 at its relaxed geometry, from Alexandria.

abc: 4.6315 4.6315 5.0898
angles: 90.00 90.00 90.00
Closest atoms and distances in Å follow each position.
Fractional positions:
Ca 0.0000 0.0000 0.0000  2 Ga 2.54
Zn 0.5000 0.5000 0.0000  4 Ca 3.27, 8 Re 3.44
Ga 0.0000 0.0000 0.5000  4 Re 2.32, 2 Ca 2.54
Re 0.0000 0.5000 0.5000  2 Ga 2.32
Re 0.5000 0.0000 0.5000  2 Ga 2.32

The value obtained for the raw total energy is -0.1778 hartree per atom.

=====

[11]
The following is a PBE calculation of crystalline CaGa4Rh4 at its relaxed geometry, from Alexandria.

abc: 8.2403 8.2403 4.8750
angles: 90.00 90.00 90.00
Closest atoms and distances in Å follow each position.
Fractional positions:
Ca 0.2500 0.2500 0.2500  4 Rh 3.20, 8 Ga 3.28-3.52
Ca 0.7500 0.7500 0.7500  4 Rh 3.20, 8 Ga 3.28-3.52
Ga 0.0602 0.9032 0.1745  5 Rh 2.43-2.56, 1 Ga 2.53
Ga 0.0968 0.5602 0.6745  5 Rh 2.43-2.56, 1 Ga 2.53
Ga 0.4032 0.9398 0.6745  5 Rh 2.43-2.56, 1 Ga 2.53
Ga 0.4398 0.5968 0.1745  5 Rh 2.43-2.56, 1 Ga 2.53
Ga 0.5602 0.4032 0.8255  5 Rh 2.43-2.56, 1 Ga 2.53
Ga 0.5968 0.0602 0.3255  5 Rh 2.43-2.56, 1 Ga 2.53
Ga 0.9032 0.4398 0.3255  5 Rh 2.43-2.56, 1 Ga 2.53
Ga 0.9398 0.0968 0.8255  5 Rh 2.43-2.56, 1 Ga 2.53
Rh 0.1152 0.8700 0.6614  5 Ga 2.43-2.56
Rh 0.1300 0.6152 0.1614  5 Ga 2.43-2.56
Rh 0.3700 0.8848 0.1614  5 Ga 2.43-2.56
Rh 0.3848 0.6300 0.6614  5 Ga 2.43-2.56
Rh 0.6152 0.3700 0.3386  5 Ga 2.43-2.56
Rh 0.6300 0.1152 0.8386  5 Ga 2.43-2.56
Rh 0.8700 0.3848 0.8386  5 Ga 2.43-2.56
Rh 0.8848 0.1300 0.3386  5 Ga 2.43-2.56

The value obtained for the raw total energy is -0.1985 hartree per atom.

=====

[12]
The following is a PBE calculation of crystalline CaGa2Rh at its relaxed geometry, from Alexandria.

abc: 8.9291 8.9291 8.9291
angles: 148.13 148.13 45.70
Closest atoms and distances in Å follow each position.
Fractional positions:
Ca 0.0000 0.0000 0.0000  4 Ga 3.21, 4 Rh 3.47
Ca 0.7500 0.2500 0.5000  4 Ga 3.21, 4 Rh 3.47
Ga 0.3125 0.6250 0.1875  2 Rh 2.41, 2 Ga 2.53
Ga 0.3750 0.5625 0.6875  2 Rh 2.41, 2 Ga 2.53
Ga 0.4375 0.1250 0.8125  2 Rh 2.41, 2 Ga 2.53
Ga 0.8750 0.6875 0.3125  2 Rh 2.41, 2 Ga 2.53
Rh 0.2500 0.7500 0.5000  4 Ga 2.41
Rh 0.5000 0.5000 0.0000  4 Ga 2.41

The value obtained for the raw total energy is -0.1527 hartree per atom.

=====

Sequential calculated volume output: 216.45, 222.09, 120.86, 213.00, 186.72, 164.00, 104.72, 122.34, 115.80, 109.18, 331.02, 197.83 Å³ per cell
Sequential magnetization output: 0.0, 1.2, 1.6, 0.0, 0.0, 0.0, 0.0, 0.0, 0.0, 0.0, 0.0, 0.0 Bohr magnetons per cell